[1]
Here is an optimized crystal structure of AcTePd from OQMD. Energies are from PBE.

```
12
Lattice="7.0617 0.0000 0.0000 0.0000 7.0617 0.0000 0.0000 0.0000 7.0617" Properties=species:S:1:pos:R:3 pbc="T T T"
Ac 0.0000 0.0000 0.0000
Ac 0.0000 3.5309 3.5309
Ac 3.5309 0.0000 3.5309
Ac 3.5309 3.5309 0.0000
Te 0.0000 0.0000 3.5309
Te 0.0000 3.5309 0.0000
Te 3.5309 0.0000 0.0000
Te 3.5309 3.5309 3.5309
Pd 1.7654 1.7654 1.7654
Pd 1.7654 5.2963 5.2963
Pd 5.2963 1.7654 5.2963
Pd 5.2963 5.2963 1.7654
```

## Properties
The calculation puts the electronic total energy at -5.15 eV per atom. The energy above the most stable polymorph in this dataset comes out at 0.0 kJ per mole of atoms. Its total magnetization is 0.0 μB per formula unit.

[2]
Here is an optimized crystal structure of AcTePd from OQMD. Energies are from PBE.

```
12
Lattice="7.4584 0.0000 0.0000 0.0000 7.4584 0.0000 0.0000 0.0000 7.4584" Properties=species:S:1:pos:R:3 pbc="T T T"
Ac 0.0000 0.0000 0.0000
Ac 0.0000 3.7292 3.7292
Ac 3.7292 0.0000 3.7292
Ac 3.7292 3.7292 0.0000
Te 1.8646 1.8646 1.8646
Te 1.8646 5.5938 5.5938
Te 5.5938 1.8646 5.5938
Te 5.5938 5.5938 1.8646
Pd 1.8646 1.8646 5.5938
Pd 1.8646 5.5938 1.8646
Pd 5.5938 1.8646 1.8646
Pd 5.5938 5.5938 5.5938
```

## Properties
The calculation puts the electronic total energy at -4.81 eV per atom. The energy above the most stable polymorph in this dataset comes out at 32.5 kJ per mole of atoms. Its total magnetization is 0.0 μB per formula unit.

[3]
Here is an optimized crystal structure of AcThPd from OQMD. Energies are from PBE.

```
12
Lattice="7.2848 0.0000 0.0000 0.0000 7.2848 0.0000 0.0000 0.0000 7.2848" Properties=species:S:1:pos:R:3 pbc="T T T"
Ac 0.0000 0.0000 0.0000
Ac 0.0000 3.6424 3.6424
Ac 3.6424 0.0000 3.6424
Ac 3.6424 3.6424 0.0000
Th 0.0000 0.0000 3.6424
Th 0.0000 3.6424 0.0000
Th 3.6424 0.0000 0.0000
Th 3.6424 3.6424 3.6424
Pd 1.8212 1.8212 1.8212
Pd 1.8212 5.4636 5.4636
Pd 5.4636 1.8212 5.4636
Pd 5.4636 5.4636 1.8212
```

## Properties
The calculation puts the electronic total energy at -5.71 eV per atom. The energy above the most stable polymorph in this dataset comes out at 0.0 kJ per mole of atoms. Its total magnetization is 0.0 μB per formula unit. For the formation enthalpy at 0 K, the calculation gives -146.4 meV/atom.

[4]
Here is an optimized crystal structure of AcTlPd4 from OQMD. Energies are from PBE.

```
6
Lattice="0.0000 3.9225 3.9225 3.9225 0.0000 3.9225 3.9225 3.9225 0.0000" Properties=species:S:1:pos:R:3 pbc="T T T"
Ac 0.0000 0.0000 0.0000
Tl 5.8838 5.8838 5.8838
Pd 2.9475 2.9475 2.9475
Pd 4.8976 4.8976 2.9475
Pd 4.8976 2.9475 4.8976
Pd 2.9475 4.8976 4.8976
```

## Properties
The calculation puts the electronic total energy at -5.14 eV per atom. Its total magnetization is 0.0 μB per formula unit.

[5]
Here is an optimized crystal structure of Ac2TlPd6 from OQMD. Energies are from PBE.

```
9
Lattice="5.1477 -2.9710 0.0000 5.1477 2.9710 0.0000 -0.0031 0.0000 6.3538" Properties=species:S:1:pos:R:3 pbc="T T T"
Ac 1.7251 0.0000 1.8273
Ac 8.5673 0.0000 4.5264
Tl 5.1462 0.0000 3.1769
Pd 4.2502 1.5561 1.0920
Pd 3.3344 0.0000 5.2529
Pd 6.0422 1.5561 5.2618
Pd 4.2502 -1.5561 1.0920
Pd 6.9580 0.0000 1.1009
Pd 6.0422 -1.5561 5.2618
```

## Properties
The calculation puts the electronic total energy at -5.29 eV per atom. Its total magnetization is 0.0 μB per formula unit.

[6]
Here is an optimized crystal structure of AcTmPd from OQMD. Energies are from PBE.

```
12
Lattice="7.1889 0.0000 0.0000 0.0000 7.1889 0.0000 0.0000 0.0000 7.1889" Properties=species:S:1:pos:R:3 pbc="T T T"
Ac 0.0000 0.0000 0.0000
Ac 0.0000 3.5944 3.5944
Ac 3.5944 0.0000 3.5944
Ac 3.5944 3.5944 0.0000
Tm 0.0000 0.0000 3.5944
Tm 0.0000 3.5944 0.0000
Tm 3.5944 0.0000 0.0000
Tm 3.5944 3.5944 3.5944
Pd 1.7972 1.7972 1.7972
Pd 1.7972 5.3916 5.3916
Pd 5.3916 1.7972 5.3916
Pd 5.3916 5.3916 1.7972
```

## Properties
The calculation puts the electronic total energy at -4.97 eV per atom. The energy above the most stable polymorph in this dataset comes out at 0.0 kJ per mole of atoms. Its total magnetization is 0.0 μB per formula unit. For the formation enthalpy at 0 K, the calculation gives -385.6 meV/atom.

[7]
Here is an optimized crystal structure of AcPdW from OQMD. Energies are from PBE.

```
12
Lattice="6.8882 0.0000 0.0000 0.0000 6.8882 0.0000 0.0000 0.0000 6.8882" Properties=species:S:1:pos:R:3 pbc="T T T"
Ac 0.0000 0.0000 0.0000
Ac 0.0000 3.4441 3.4441
Ac 3.4441 0.0000 3.4441
Ac 3.4441 3.4441 0.0000
Pd 1.7221 1.7221 1.7221
Pd 1.7221 5.1662 5.1662
Pd 5.1662 1.7221 5.1662
Pd 5.1662 5.1662 1.7221
W 0.0000 0.0000 3.4441
W 0.0000 3.4441 0.0000
W 3.4441 0.0000 0.0000
W 3.4441 3.4441 3.4441
```

## Properties
The calculation puts the electronic total energy at -6.55 eV per atom. The energy above the most stable polymorph in this dataset comes out at 0.0 kJ per mole of atoms. Its total magnetization is 3.6 μB per formula unit. For the formation enthalpy at 0 K, the calculation gives 861.5 meV/atom.

[8]
Here is an optimized crystal structure of AcPdW from OQMD. Energies are from PBE.

```
12
Lattice="6.8855 0.0000 0.0000 0.0000 6.8855 0.0000 0.0000 0.0000 6.8855" Properties=species:S:1:pos:R:3 pbc="T T T"
Ac 0.0000 0.0000 0.0000
Ac 0.0000 3.4427 3.4427
Ac 3.4427 0.0000 3.4427
Ac 3.4427 3.4427 0.0000
Pd 1.7214 1.7214 5.1641
Pd 1.7214 5.1641 1.7214
Pd 5.1641 1.7214 1.7214
Pd 5.1641 5.1641 5.1641
W 1.7214 1.7214 1.7214
W 1.7214 5.1641 5.1641
W 5.1641 1.7214 5.1641
W 5.1641 5.1641 1.7214
```

## Properties
The calculation puts the electronic total energy at -5.94 eV per atom. The energy above the most stable polymorph in this dataset comes out at 59.4 kJ per mole of atoms. Its total magnetization is 2.9 μB per formula unit. For the formation enthalpy at 0 K, the calculation gives 1476.8 meV/atom.

[9]
Here is an optimized crystal structure of AcZnPd2 from OQMD. Energies are from PBE.

```
16
Lattice="7.4636 0.0000 0.0000 0.0000 4.4227 0.0000 0.0000 0.0000 10.7043" Properties=species:S:1:pos:R:3 pbc="T T T"
Ac 1.2354 1.1057 1.5140
Ac 2.4964 3.3170 6.8662
Ac 4.9672 1.1057 3.8381
Ac 6.2282 3.3170 9.1903
Zn 0.2377 3.3170 4.2478
Zn 3.4941 1.1057 9.6000
Zn 3.9695 3.3170 1.1043
Zn 7.2259 1.1057 6.4565
Pd 0.9831 1.1057 8.7414
Pd 1.6547 1.1057 4.6889
Pd 2.0771 3.3170 10.0410
Pd 2.7487 3.3170 3.3892
Pd 4.7149 1.1057 7.3150
Pd 5.3865 1.1057 0.6633
Pd 5.8089 3.3170 6.0154
Pd 6.4805 3.3170 1.9629
```

## Properties
The calculation puts the electronic total energy at -4.67 eV per atom. Its total magnetization is 0.0 μB per formula unit. For the formation enthalpy at 0 K, the calculation gives -742.1 meV/atom.

[10]
Here is an optimized crystal structure of Ac2Zn5Pd5 from OQMD. Energies are from PBE.

```
12
Lattice="4.3318 0.0000 0.0000 0.0000 5.4735 0.0000 0.0000 0.0000 9.7452" Properties=species:S:1:pos:R:3 pbc="T T T"
Ac 0.0000 0.0000 0.0000
Ac 0.0000 2.7368 4.8726
Zn 2.1659 0.0000 4.8726
Zn 2.1659 1.3755 2.4101
Zn 2.1659 1.3755 7.3351
Zn 2.1659 4.0980 2.4101
Zn 2.1659 4.0980 7.3351
Pd 0.0000 0.0000 3.2435
Pd 0.0000 0.0000 6.5017
Pd 0.0000 2.7368 1.7775
Pd 0.0000 2.7368 7.9677
Pd 2.1659 2.7368 0.0000
```

## Properties
The calculation puts the electronic total energy at -4.00 eV per atom. Its total magnetization is 0.0 μB per formula unit. For the formation enthalpy at 0 K, the calculation gives -636.2 meV/atom.

[11]
Here is an optimized crystal structure of AcZnPd from OQMD. Energies are from PBE.

```
12
Lattice="7.1594 0.0000 0.0000 0.0000 7.1594 0.0000 0.0000 0.0000 7.1594" Properties=species:S:1:pos:R:3 pbc="T T T"
Ac 0.0000 0.0000 0.0000
Ac 0.0000 3.5797 3.5797
Ac 3.5797 0.0000 3.5797
Ac 3.5797 3.5797 0.0000
Zn 1.7899 1.7899 1.7899
Zn 1.7899 5.3696 5.3696
Zn 5.3696 1.7899 5.3696
Zn 5.3696 5.3696 1.7899
Pd 1.7899 1.7899 5.3696
Pd 1.7899 5.3696 1.7899
Pd 5.3696 1.7899 1.7899
Pd 5.3696 5.3696 5.3696
```

## Properties
The calculation puts the electronic total energy at -3.54 eV per atom. The energy above the most stable polymorph in this dataset comes out at 63.5 kJ per mole of atoms. Its total magnetization is 0.0 μB per formula unit. For the formation enthalpy at 0 K, the calculation gives -20.2 meV/atom.

[12]
Here is an optimized crystal structure of AcZnPd from OQMD. Energies are from PBE.

```
12
Lattice="6.9205 0.0000 0.0000 0.0000 6.9205 0.0000 0.0000 0.0000 6.9205" Properties=species:S:1:pos:R:3 pbc="T T T"
Ac 0.0000 0.0000 0.0000
Ac 0.0000 3.4602 3.4602
Ac 3.4602 0.0000 3.4602
Ac 3.4602 3.4602 0.0000
Zn 0.0000 0.0000 3.4602
Zn 0.0000 3.4602 0.0000
Zn 3.4602 0.0000 0.0000
Zn 3.4602 3.4602 3.4602
Pd 1.7301 1.7301 1.7301
Pd 1.7301 5.1904 5.1904
Pd 5.1904 1.7301 5.1904
Pd 5.1904 5.1904 1.7301
```

## Properties
The calculation puts the electronic total energy at -4.01 eV per atom. The energy above the most stable polymorph in this dataset comes out at 17.9 kJ per mole of atoms. Its total magnetization is 0.0 μB per formula unit. For the formation enthalpy at 0 K, the calculation gives -492.2 meV/atom.